The following is a DFT calculation (PBE) of crystalline ReSe3O at its relaxed geometry.

Cell: 4.817 4.817 4.817 Å, 90.00 90.00 90.00°
Space group Pm-3m (No. 221)
Symmetry-distinct sites (fractional):
Re1 0.000 0.000 0.000 (multiplicity 1)
Se1 0.000 0.000 0.500 (multiplicity 3)
O1 0.500 0.500 0.500 (multiplicity 1)

Computed properties:
formation energy without anion corrections: 0.9317 eV/atom
energy above the most stable polymorph in this dataset: 0 meV/atom
calculated total energy: -4.64 eV per atom
M_tot: 0.00 μB/atom
D(E_F): 8.029 states/eV per cell